(1)
# meta-GGA SCAN GeBi2HSe, PBEsol geometry
# Calculated volume in Å³/cell: 146.0
# Energy in eV/atom: -38.930
data_GeBi2HSe
_chemical_formula_sum 'Ge1 Bi2 H1 Se1'
_space_group_name_H-M_alt 'P 1'
_space_group_IT_number 1
_cell_length_a 4.8971
_cell_length_b 5.4610
_cell_length_c 5.4610
_cell_angle_alpha 90.00
_cell_angle_beta 90.00
_cell_angle_gamma 90.00
loop_
_space_group_symop_operation_xyz
'x,y,z'
loop_
_atom_site_label
_atom_site_fract_x
_atom_site_fract_y
_atom_site_fract_z
Bi1 0.0000 0.0000 0.5000
Bi2 0.0000 0.5000 0.0000
Se1 0.5000 0.0000 0.0000
H1 0.5000 0.5000 0.5000
Ge1 0.0000 0.0000 0.0000

(2)
# meta-GGA SCAN CdGaBr2, PBEsol geometry
# Calculated volume in Å³/cell: 116.0
# Formation energy (no corrections) in eV/atom: -0.357
data_CdGaBr2
_chemical_formula_sum 'Cd1 Ga1 Br2'
_space_group_name_H-M_alt 'P 1'
_space_group_IT_number 1
_cell_length_a 3.7729
_cell_length_b 3.7729
_cell_length_c 9.6618
_cell_angle_alpha 78.74
_cell_angle_beta 78.74
_cell_angle_gamma 60.00
loop_
_space_group_symop_operation_xyz
'x,y,z'
loop_
_atom_site_label
_atom_site_fract_x
_atom_site_fract_y
_atom_site_fract_z
Br1 0.8942 0.8942 0.3173
Br2 0.1058 0.1058 0.6827
Ga1 0.0000 0.0000 0.0000
Cd1 0.5000 0.5000 0.5000

(3)
# meta-GGA SCAN ZrFeRu2, PBEsol geometry
# Formation energy from the elements in eV per atom: -0.077
# Calculated volume in Å³/cell: 57.8
data_ZrFeRu2
_chemical_formula_sum 'Zr1 Fe1 Ru2'
_space_group_name_H-M_alt 'P 1'
_space_group_IT_number 1
_cell_length_a 3.8333
_cell_length_b 3.8333
_cell_length_c 4.7748
_cell_angle_alpha 113.67
_cell_angle_beta 113.67
_cell_angle_gamma 90.00
loop_
_space_group_symop_operation_xyz
'x,y,z'
loop_
_atom_site_label
_atom_site_fract_x
_atom_site_fract_y
_atom_site_fract_z
Fe1 0.2500 0.7500 0.5000
Ru1 0.0000 0.0000 0.0000
Ru2 0.7500 0.2500 0.5000
Zr1 0.5000 0.5000 0.0000

(4)
# meta-GGA SCAN LiRe2B2, PBEsol geometry
# Formation energy from the elements in eV per atom: -0.268
# Calculated volume in Å³/cell: 97.5
data_LiRe2B2
_chemical_formula_sum 'Li2 Re4 B4'
_space_group_name_H-M_alt 'P 1'
_space_group_IT_number 1
_cell_length_a 3.0102
_cell_length_b 5.6910
_cell_length_c 5.6910
_cell_angle_alpha 90.00
_cell_angle_beta 90.00
_cell_angle_gamma 90.00
loop_
_space_group_symop_operation_xyz
'x,y,z'
loop_
_atom_site_label
_atom_site_fract_x
_atom_site_fract_y
_atom_site_fract_z
Li1 0.0000 0.5000 0.5000
Li2 0.0000 0.0000 0.0000
Re1 0.5000 0.1732 0.6732
Re2 0.5000 0.3268 0.1732
Re3 0.5000 0.8268 0.3268
Re4 0.5000 0.6732 0.8268
B1 0.0000 0.8808 0.6192
B2 0.0000 0.1192 0.3808
B3 0.0000 0.3808 0.8808
B4 0.0000 0.6192 0.1192

(5)
# meta-GGA SCAN Ba3LuIrRuO9, PBEsol geometry
# Calculated volume in Å³/cell: 420.2
# Formation energy (no corrections) in eV/atom: -2.481
data_Ba3LuIrRuO9
_chemical_formula_sum 'Ba6 Lu2 Ir2 Ru2 O18'
_space_group_name_H-M_alt 'P 1'
_space_group_IT_number 1
_cell_length_a 5.8172
_cell_length_b 5.8172
_cell_length_c 14.3390
_cell_angle_alpha 90.00
_cell_angle_beta 90.00
_cell_angle_gamma 120.00
loop_
_space_group_symop_operation_xyz
'x,y,z'
loop_
_atom_site_label
_atom_site_fract_x
_atom_site_fract_y
_atom_site_fract_z
O1 0.4907 0.5093 0.2512
O2 0.8257 0.6515 0.5840
O3 0.6515 0.8257 0.0840
O4 0.8251 0.6501 0.9136
O5 0.1743 0.8257 0.0840
O6 0.8251 0.1749 0.9136
O7 0.1743 0.3485 0.0840
O8 0.0185 0.5093 0.2512
O9 0.5093 0.0185 0.7512
O10 0.3499 0.1749 0.9136
O11 0.6501 0.8251 0.4136
O12 0.3485 0.1743 0.5840
O13 0.8257 0.1743 0.5840
O14 0.5093 0.4907 0.7512
O15 0.1749 0.8251 0.4136
O16 0.4907 0.9815 0.2512
O17 0.9815 0.4907 0.7512
O18 0.1749 0.3499 0.4136
Lu1 0.0000 0.0000 0.0003
Lu2 0.0000 0.0000 0.5003
Ir1 0.3333 0.6667 0.1636
Ir2 0.6667 0.3333 0.6636
Ru1 0.3333 0.6667 0.3377
Ru2 0.6667 0.3333 0.8377
Ba1 0.0000 0.0000 0.7499
Ba2 0.3333 0.6667 0.9100
Ba3 0.6667 0.3333 0.4100
Ba4 0.6667 0.3333 0.0920
Ba5 0.3333 0.6667 0.5920
Ba6 0.0000 0.0000 0.2499

(6)
# meta-GGA SCAN Ti2CCl2, PBEsol geometry
# Calculated volume in Å³/cell: 79.2
# Formation energy (no corrections) in eV/atom: -1.543
data_Ti2CCl2
_chemical_formula_sum 'Ti2 C1 Cl2'
_space_group_name_H-M_alt 'P 1'
_space_group_IT_number 1
_cell_length_a 3.1909
_cell_length_b 3.1909
_cell_length_c 8.9769
_cell_angle_alpha 90.00
_cell_angle_beta 90.00
_cell_angle_gamma 120.00
loop_
_space_group_symop_operation_xyz
'x,y,z'
loop_
_atom_site_label
_atom_site_fract_x
_atom_site_fract_y
_atom_site_fract_z
Cl1 0.6667 0.3333 0.1944
Cl2 0.3333 0.6667 0.8056
C1 0.0000 0.0000 0.5000
Ti1 0.3333 0.6667 0.3791
Ti2 0.6667 0.3333 0.6209

(7)
# meta-GGA SCAN SiPHS2, PBEsol geometry
# Calculated volume in Å³/cell: 89.4
# Energy in eV/atom: -7.643
data_SiPHS2
_chemical_formula_sum 'Si1 P1 H1 S2'
_space_group_name_H-M_alt 'P 1'
_space_group_IT_number 1
_cell_length_a 4.4921
_cell_length_b 4.4611
_cell_length_c 4.4611
_cell_angle_alpha 90.00
_cell_angle_beta 90.00
_cell_angle_gamma 90.00
loop_
_space_group_symop_operation_xyz
'x,y,z'
loop_
_atom_site_label
_atom_site_fract_x
_atom_site_fract_y
_atom_site_fract_z
Si1 0.0000 0.0000 0.0000
H1 0.5000 0.5000 0.5000
P1 0.5000 0.0000 0.0000
S1 0.0000 0.0000 0.5000
S2 0.0000 0.5000 0.0000

(8)
# meta-GGA SCAN YTl2Pb, PBEsol geometry
# Formation energy from the elements in eV per atom: -0.313
# Calculated volume in Å³/cell: 107.4
data_YTl2Pb
_chemical_formula_sum 'Y1 Tl2 Pb1'
_space_group_name_H-M_alt 'P 1'
_space_group_IT_number 1
_cell_length_a 3.6372
_cell_length_b 5.5782
_cell_length_c 5.5782
_cell_angle_alpha 108.32
_cell_angle_beta 90.00
_cell_angle_gamma 90.00
loop_
_space_group_symop_operation_xyz
'x,y,z'
loop_
_atom_site_label
_atom_site_fract_x
_atom_site_fract_y
_atom_site_fract_z
Pb1 0.5000 0.5000 0.5000
Tl1 0.0000 0.5000 0.0000
Tl2 0.0000 0.0000 0.5000
Y1 0.5000 0.0000 0.0000

(9)
# meta-GGA SCAN EuSi2Au2, PBEsol geometry
# Calculated volume in Å³/cell: 93.1
# Formation energy (no corrections) in eV/atom: -0.665
data_EuSi2Au2
_chemical_formula_sum 'Eu1 Si2 Au2'
_space_group_name_H-M_alt 'P 1'
_space_group_IT_number 1
_cell_length_a 4.2953
_cell_length_b 4.2953
_cell_length_c 5.8889
_cell_angle_alpha 111.39
_cell_angle_beta 111.39
_cell_angle_gamma 90.00
loop_
_space_group_symop_operation_xyz
'x,y,z'
loop_
_atom_site_label
_atom_site_fract_x
_atom_site_fract_y
_atom_site_fract_z
Si1 0.6151 0.6151 0.2301
Si2 0.3849 0.3849 0.7699
Au1 0.2500 0.7500 0.5000
Au2 0.7500 0.2500 0.5000
Eu1 0.0000 0.0000 0.0000

(10)
# meta-GGA SCAN SiSe, PBEsol geometry
# Calculated volume in Å³/cell: 138.5
# Formation energy (no corrections) in eV/atom: 0.063
data_SiSe
_chemical_formula_sum 'Si3 Se3'
_space_group_name_H-M_alt 'P 1'
_space_group_IT_number 1
_cell_length_a 3.3786
_cell_length_b 6.3581
_cell_length_c 6.6850
_cell_angle_alpha 94.60
_cell_angle_beta 104.64
_cell_angle_gamma 90.00
loop_
_space_group_symop_operation_xyz
'x,y,z'
loop_
_atom_site_label
_atom_site_fract_x
_atom_site_fract_y
_atom_site_fract_z
Se1 0.2816 0.1853 0.5631
Se2 0.3458 0.7175 0.6917
Se3 0.0193 0.1168 0.0387
Si1 0.7150 0.6838 0.4299
Si2 0.1502 0.4237 0.3003
Si3 0.6548 0.0396 0.3096

(11)
# meta-GGA SCAN AsPN3, PBEsol geometry
# Calculated volume in Å³/cell: 50.7
# Formation energy (no corrections) in eV/atom: 1.805
data_AsPN3
_chemical_formula_sum 'As1 P1 N3'
_space_group_name_H-M_alt 'P 1'
_space_group_IT_number 1
_cell_length_a 3.7017
_cell_length_b 3.7017
_cell_length_c 3.7017
_cell_angle_alpha 90.00
_cell_angle_beta 90.00
_cell_angle_gamma 90.00
loop_
_space_group_symop_operation_xyz
'x,y,z'
loop_
_atom_site_label
_atom_site_fract_x
_atom_site_fract_y
_atom_site_fract_z
P1 0.5000 0.5000 0.5000
N1 0.0000 0.0000 0.5000
N2 0.0000 0.5000 0.0000
N3 0.5000 0.0000 0.0000
As1 0.0000 0.0000 0.0000

(12)
# meta-GGA SCAN Li3ZnSe, PBEsol geometry
# Calculated volume in Å³/cell: 108.5
# Formation energy (no corrections) in eV/atom: -0.523
data_Li3ZnSe
_chemical_formula_sum 'Li3 Zn1 Se1'
_space_group_name_H-M_alt 'P 1'
_space_group_IT_number 1
_cell_length_a 4.7702
_cell_length_b 4.7702
_cell_length_c 4.7702
_cell_angle_alpha 90.00
_cell_angle_beta 90.00
_cell_angle_gamma 90.00
loop_
_space_group_symop_operation_xyz
'x,y,z'
loop_
_atom_site_label
_atom_site_fract_x
_atom_site_fract_y
_atom_site_fract_z
Se1 0.0000 0.0000 0.0000
Zn1 0.5000 0.5000 0.5000
Li1 0.0000 0.5000 0.0000
Li2 0.5000 0.0000 0.0000
Li3 0.0000 0.0000 0.5000

(13)
# meta-GGA SCAN Mg2ZrS, PBEsol geometry
# Energy above the lowest structure with this stoichiometry in eV per formula unit: 2.95
# Calculated volume in Å³/cell: 82.0
# Formation energy (no corrections) in eV/atom: 0.370
data_Mg2ZrS
_chemical_formula_sum 'Mg2 Zr1 S1'
_space_group_name_H-M_alt 'P 1'
_space_group_IT_number 1
_cell_length_a 4.8773
_cell_length_b 4.8773
_cell_length_c 4.8773
_cell_angle_alpha 60.00
_cell_angle_beta 60.00
_cell_angle_gamma 60.00
loop_
_space_group_symop_operation_xyz
'x,y,z'
loop_
_atom_site_label
_atom_site_fract_x
_atom_site_fract_y
_atom_site_fract_z
Mg1 0.7500 0.7500 0.7500
Mg2 0.2500 0.2500 0.2500
Zr1 0.5000 0.5000 0.5000
S1 0.0000 0.0000 0.0000

(14)
# meta-GGA SCAN Al2FeRe, PBEsol geometry
# Energy above the lowest structure with this stoichiometry in eV per formula unit: 0.06
# Formation energy from the elements in eV per atom: -0.213
# Calculated volume in Å³/cell: 53.7
data_Al2FeRe
_chemical_formula_sum 'Al2 Fe1 Re1'
_space_group_name_H-M_alt 'P 1'
_space_group_IT_number 1
_cell_length_a 3.6794
_cell_length_b 3.6794
_cell_length_c 4.7415
_cell_angle_alpha 112.83
_cell_angle_beta 112.83
_cell_angle_gamma 90.00
loop_
_space_group_symop_operation_xyz
'x,y,z'
loop_
_atom_site_label
_atom_site_fract_x
_atom_site_fract_y
_atom_site_fract_z
Re1 0.2500 0.7500 0.5000
Al1 0.0000 0.0000 0.0000
Al2 0.7500 0.2500 0.5000
Fe1 0.5000 0.5000 0.0000

(15)
# meta-GGA SCAN Ni5Pt, PBEsol geometry
# Formation energy from the elements in eV per atom: -0.071
# Calculated volume in Å³/cell: 67.3
data_Ni5Pt
_chemical_formula_sum 'Ni5 Pt1'
_space_group_name_H-M_alt 'P 1'
_space_group_IT_number 1
_cell_length_a 3.5618
_cell_length_b 3.5586
_cell_length_c 5.6010
_cell_angle_alpha 71.48
_cell_angle_beta 90.00
_cell_angle_gamma 90.00
loop_
_space_group_symop_operation_xyz
'x,y,z'
loop_
_atom_site_label
_atom_site_fract_x
_atom_site_fract_y
_atom_site_fract_z
Ni1 0.5000 0.0000 0.0000
Ni2 0.5000 0.6711 0.6578
Ni3 0.5000 0.3289 0.3422
Ni4 0.0000 0.1710 0.6581
Ni5 0.0000 0.8290 0.3419
Pt1 0.0000 0.5000 0.0000

(16)
# meta-GGA SCAN Be2Al2Rh, PBEsol geometry
# Formation energy from the elements in eV per atom: 0.192
# Calculated volume in Å³/cell: 62.8
data_Be2Al2Rh
_chemical_formula_sum 'Be2 Al2 Rh1'
_space_group_name_H-M_alt 'P 1'
_space_group_IT_number 1
_cell_length_a 3.4935
_cell_length_b 3.4935
_cell_length_c 5.7066
_cell_angle_alpha 107.82
_cell_angle_beta 107.82
_cell_angle_gamma 90.00
loop_
_space_group_symop_operation_xyz
'x,y,z'
loop_
_atom_site_label
_atom_site_fract_x
_atom_site_fract_y
_atom_site_fract_z
Al1 0.2500 0.7500 0.5000
Al2 0.7500 0.2500 0.5000
Be1 0.5943 0.5943 0.1886
Be2 0.4057 0.4057 0.8114
Rh1 0.0000 0.0000 0.0000

(17)
# meta-GGA SCAN LaTlCrSn2, PBEsol geometry
# Formation energy from the elements in eV per atom: 0.364
# Calculated volume in Å³/cell: 154.9
data_LaTlCrSn2
_chemical_formula_sum 'La1 Tl1 Cr1 Sn2'
_space_group_name_H-M_alt 'P 1'
_space_group_IT_number 1
_cell_length_a 5.0250
_cell_length_b 5.5518
_cell_length_c 5.5518
_cell_angle_alpha 90.00
_cell_angle_beta 90.00
_cell_angle_gamma 90.00
loop_
_space_group_symop_operation_xyz
'x,y,z'
loop_
_atom_site_label
_atom_site_fract_x
_atom_site_fract_y
_atom_site_fract_z
Sn1 0.0000 0.5000 0.0000
Sn2 0.0000 0.0000 0.5000
La1 0.5000 0.5000 0.5000
Tl1 0.0000 0.0000 0.0000
Cr1 0.5000 0.0000 0.0000

(18)
# meta-GGA SCAN LaFe2Ge2, PBEsol geometry
# Formation energy from the elements in eV per atom: -0.394
# Calculated volume in Å³/cell: 82.9
data_LaFe2Ge2
_chemical_formula_sum 'La1 Fe2 Ge2'
_space_group_name_H-M_alt 'P 1'
_space_group_IT_number 1
_cell_length_a 4.0792
_cell_length_b 4.0792
_cell_length_c 5.7564
_cell_angle_alpha 110.75
_cell_angle_beta 110.75
_cell_angle_gamma 90.00
loop_
_space_group_symop_operation_xyz
'x,y,z'
loop_
_atom_site_label
_atom_site_fract_x
_atom_site_fract_y
_atom_site_fract_z
Fe1 0.7500 0.2500 0.5000
Fe2 0.2500 0.7500 0.5000
La1 0.0000 0.0000 0.0000
Ge1 0.6397 0.6397 0.2794
Ge2 0.3603 0.3603 0.7206

(19)
# meta-GGA SCAN Sc2Tc, PBEsol geometry
# Energy above the lowest structure with this stoichiometry in eV per formula unit: 0.35
# Formation energy from the elements in eV per atom: -0.133
# Calculated volume in Å³/cell: 454.6
data_Sc2Tc
_chemical_formula_sum 'Sc16 Tc8'
_space_group_name_H-M_alt 'P 1'
_space_group_IT_number 1
_cell_length_a 8.6310
_cell_length_b 8.6310
_cell_length_c 8.6310
_cell_angle_alpha 60.00
_cell_angle_beta 60.00
_cell_angle_gamma 60.00
loop_
_space_group_symop_operation_xyz
'x,y,z'
loop_
_atom_site_label
_atom_site_fract_x
_atom_site_fract_y
_atom_site_fract_z
Sc1 0.3035 0.3035 0.6965
Sc2 0.3035 0.6965 0.6965
Sc3 0.9465 0.5535 0.5535
Sc4 0.5535 0.5535 0.9465
Sc5 0.1250 0.1250 0.1250
Sc6 0.6250 0.1250 0.1250
Sc7 0.9465 0.5535 0.9465
Sc8 0.3035 0.6965 0.3035
Sc9 0.1250 0.1250 0.6250
Sc10 0.5535 0.9465 0.9465
Sc11 0.6965 0.3035 0.3035
Sc12 0.1250 0.6250 0.1250
Sc13 0.9465 0.9465 0.5535
Sc14 0.6965 0.6965 0.3035
Sc15 0.5535 0.9465 0.5535
Sc16 0.6965 0.3035 0.6965
Tc1 0.9908 0.3364 0.3364
Tc2 0.3364 0.3364 0.3364
Tc3 0.9136 0.9136 0.9136
Tc4 0.9136 0.9136 0.2592
Tc5 0.3364 0.9908 0.3364
Tc6 0.9136 0.2592 0.9136
Tc7 0.3364 0.3364 0.9908
Tc8 0.2592 0.9136 0.9136

(20)
# meta-GGA SCAN BaNiIr4, PBEsol geometry
# Formation energy from the elements in eV per atom: 0.465
# Calculated volume in Å³/cell: 106.4
data_BaNiIr4
_chemical_formula_sum 'Ba1 Ni1 Ir4'
_space_group_name_H-M_alt 'P 1'
_space_group_IT_number 1
_cell_length_a 5.3189
_cell_length_b 5.3189
_cell_length_c 5.3189
_cell_angle_alpha 60.00
_cell_angle_beta 60.00
_cell_angle_gamma 60.00
loop_
_space_group_symop_operation_xyz
'x,y,z'
loop_
_atom_site_label
_atom_site_fract_x
_atom_site_fract_y
_atom_site_fract_z
Ir1 0.3758 0.3758 0.3758
Ir2 0.3758 0.3758 0.8725
Ir3 0.3758 0.8725 0.3758
Ir4 0.8725 0.3758 0.3758
Ba1 0.0000 0.0000 0.0000
Ni1 0.7500 0.7500 0.7500